First-principles (PBE) data for a relaxed HfVTcOs crystal, as listed in the Alexandria database.

Computed properties:
- calculated formation energy (eV per atom) = -0.428
- DOS(E_F) (states/eV per atom) = 0.4105
- magnetization (μB per formula unit) = 0.00

Cell lengths 6.2868, 6.2868, 6.2868 Å; angles 90.00, 90.00, 90.00 degrees
With the nearest neighbours (Å) after each atom.
Space group F-43m (No. 216)
One atom of each set of equivalent atoms:
Hf (0.0000, 0.0000, 0.0000) [4 per cell]  4 Tc 2.72, 4 Os 2.72
V (0.0000, 0.0000, 0.5000) [4 per cell]  4 Tc 2.72, 4 Os 2.72
Tc (0.2500, 0.2500, 0.2500) [4 per cell]  4 Hf 2.72, 4 V 2.72
Os (0.2500, 0.2500, 0.7500) [4 per cell]  4 Hf 2.72, 4 V 2.72

---

First-principles (PBE) data for a relaxed Ca2PbS crystal, as listed in the Alexandria database.

Computed properties:
- energy above the lowest structure with this stoichiometry (meV/atom) = 356
- DOS(E_F) (states/eV per atom) = 1.2441
- E_form (uncorrected) (eV per atom) = -0.92
- magnetization (μB per formula unit) = 0.00

Cell lengths 7.9003, 7.9003, 8.0248 Å; angles 90.00, 90.00, 90.00 degrees
With the nearest neighbours (Å) after each atom.
Space group I-42d (No. 122)
One atom of each set of equivalent atoms:
Ca (0.1941, 0.2500, 0.1250) [8 per cell]  2 S 2.69
Pb (0.0000, 0.0000, 0.5000) [4 per cell]  4 Ca 3.28
S (0.0000, 0.0000, 0.0000) [4 per cell]  4 Ca 2.69

---

First-principles (PBE) data for a relaxed BeHgH2 crystal, as listed in the Alexandria database.

Computed properties:
- energy above the lowest structure with this stoichiometry (meV/atom) = 825
- DOS(E_F) (states/eV per atom) = 0.2636
- magnetization (μB per formula unit) = 0.00

Cell lengths 5.4427, 5.4427, 5.4427 Å; angles 90.00, 90.00, 90.00 degrees
With the nearest neighbours (Å) after each atom.
Space group Fm-3m (No. 225)
One atom of each set of equivalent atoms:
Be (0.0000, 0.0000, 0.0000) [4 per cell]  8 H 2.36
Hg (0.0000, 0.0000, 0.5000) [4 per cell]  8 H 2.36
H (0.2500, 0.2500, 0.2500) [8 per cell]  4 Hg 2.36, 4 Be 2.36

---

First-principles (PBE) data for a relaxed RbGaSb2 crystal, as listed in the Alexandria database.

Computed properties:
- DOS(E_F) (states/eV per atom) = 0.5994
- E_form (uncorrected) (eV per atom) = 0.14
- magnetization (μB per formula unit) = 0.00

Cell lengths 6.5598, 6.5598, 13.0843 Å; angles 90.00, 90.00, 120.00 degrees
With the nearest neighbours (Å) after each atom.
Space group R-3m (No. 166, hexagonal axes)
One atom of each set of equivalent atoms:
Rb (0.0000, 0.0000, 0.0000) [3 per cell]  8 Sb 3.80-4.04
Ga (0.0000, 0.0000, 0.5000) [3 per cell]  2 Sb 2.50
Sb (0.0000, 0.0000, 0.3091) [6 per cell]  1 Ga 2.50

---

First-principles (PBE) data for a relaxed FeCo2Se crystal, as listed in the Alexandria database.

Computed properties:
- DOS(E_F) (states/eV per atom) = 0.9337
- E_form (uncorrected) (eV per atom) = 0.31
- magnetization (μB per formula unit) = 5.55

Cell lengths 4.9973, 8.2162, 2.7730 Å; angles 90.00, 116.08, 90.00 degrees
With the nearest neighbours (Å) after each atom.
Space group C2/m (No. 12)
One atom of each set of equivalent atoms:
Fe (0.0000, 0.0000, 0.0000) [2 per cell]  4 Co 2.49, 2 Se 2.50, 2 Fe 2.77
Co (0.2500, 0.2500, 0.5000) [4 per cell]  2 Fe 2.49, 2 Se 2.49, 4 Co 2.50-2.77
Se (0.0000, 0.5000, 0.0000) [2 per cell]  4 Co 2.49, 2 Fe 2.50, 2 Se 2.77

---

First-principles (PBE) data for a relaxed Pm5MgPb6 crystal, as listed in the Alexandria database.

Computed properties:
- calculated formation energy (eV per atom) = -0.455
- DOS(E_F) (states/eV per atom) = 0.7546
- magnetization (μB per formula unit) = 0.00

Cell lengths 4.9137, 9.1461, 15.6019 Å; angles 90.00, 90.00, 90.00 degrees
With the nearest neighbours (Å) after each atom.
Space group Immm (No. 71)
One atom of each set of equivalent atoms:
Pm (0.0000, 0.0000, 0.0000) [2 per cell]  8 Pb 3.35-3.49, 4 Pm 3.58
Pm (0.0000, 0.0000, 0.3499) [4 per cell]  8 Pb 3.28-3.63, 2 Mg 3.39
Pm (0.0000, 0.5000, 0.3333) [4 per cell]  8 Pb 3.36-3.46, 2 Pm 3.58
Mg (0.0000, 0.5000, 0.0000) [2 per cell]  8 Pb 3.36-3.49, 4 Pm 3.39
Pb (0.0000, 0.2498, 0.1689) [8 per cell]  7 Pm 3.36-3.63, 1 Mg 3.49, 4 Pb 3.53-3.60
Pb (0.0000, 0.2512, 0.5000) [4 per cell]  6 Pm 3.28-3.46, 2 Mg 3.36, 4 Pb 3.60

---

First-principles (PBE) data for a relaxed YMgSi2 crystal, as listed in the Alexandria database.

Computed properties:
- DOS(E_F) (states/eV per atom) = 0.5804
- E_form (uncorrected) (eV per atom) = -0.01
- magnetization (μB per formula unit) = 0.00

Cell lengths 3.4093, 3.4093, 25.4205 Å; angles 90.00, 90.00, 120.00 degrees
With the nearest neighbours (Å) after each atom.
Space group R-3m (No. 166, hexagonal axes)
One atom of each set of equivalent atoms:
Y (0.0000, 0.0000, 0.0000) [3 per cell]  6 Si 2.97
Mg (0.0000, 0.0000, 0.5000) [3 per cell]  6 Si 2.81
Si (0.0000, 0.0000, 0.2457) [6 per cell]  3 Mg 2.81, 3 Y 2.97

---

First-principles (PBE) data for a relaxed UPaBr6 crystal, as listed in the Alexandria database.

Computed properties:
- DOS(E_F) (states/eV per atom) = 1.0447
- E_form (uncorrected) (eV per atom) = -1.25
- magnetization (μB per formula unit) = 5.00

Cell lengths 6.9396, 14.0630, 6.9563 Å; angles 90.00, 112.56, 90.00 degrees
With the nearest neighbours (Å) after each atom.
Space group C2/m (No. 12)
One atom of each set of equivalent atoms:
U (0.0000, 0.0000, 0.0000) [2 per cell]  6 Br 2.90-2.92
Pa (0.0000, 0.5000, 0.5000) [2 per cell]  6 Br 2.86-2.88
Br (0.2471, 0.5000, 0.2522) [4 per cell]  1 Pa 2.86, 1 U 2.92
Br (0.2485, 0.3471, 0.7467) [8 per cell]  1 Pa 2.88, 1 U 2.90

---

First-principles (PBE) data for a relaxed LiZrSn crystal, as listed in the Alexandria database.

Computed properties:
- calculated formation energy (eV per atom) = -0.141
- DOS(E_F) (states/eV per atom) = 0.4072
- magnetization (μB per formula unit) = 0.00

Cell lengths 3.1858, 3.1858, 24.8630 Å; angles 90.00, 90.00, 90.00 degrees
With the nearest neighbours (Å) after each atom.
Space group I4/mmm (No. 139)
One atom of each set of equivalent atoms:
Li (0.0000, 0.0000, 0.2172) [4 per cell]  4 Li 2.78, 4 Sn 2.83
Zr (0.0000, 0.0000, 0.0628) [4 per cell]  4 Sn 3.10, 5 Zr 3.12-3.19
Sn (0.0000, 0.0000, 0.3517) [4 per cell]  4 Li 2.83, 4 Zr 3.10

---

First-principles (PBE) data for a relaxed TlIn4Si crystal, as listed in the Alexandria database.

Computed properties:
- DOS(E_F) (states/eV per atom) = 0.5440
- E_form (uncorrected) (eV per atom) = 0.37
- magnetization (μB per formula unit) = 0.00

Cell lengths 8.7307, 8.7307, 8.7307 Å; angles 90.00, 90.00, 90.00 degrees
With the nearest neighbours (Å) after each atom.
Space group F-43m (No. 216)
One atom of each set of equivalent atoms:
Tl (0.0000, 0.0000, 0.0000) [4 per cell]  12 In 3.62, 4 Si 3.78
In (0.1244, 0.1244, 0.6244) [16 per cell]  6 In 3.07-3.10
Si (0.2500, 0.2500, 0.2500) [4 per cell]  12 In 3.62, 4 Tl 3.78

---

First-principles (PBE) data for a relaxed ScAl2Cd crystal, as listed in the Alexandria database.

Computed properties:
- calculated formation energy (eV per atom) = -0.157
- DOS(E_F) (states/eV per atom) = 0.7305
- magnetization (μB per formula unit) = 0.00

Cell lengths 4.2131, 4.2275, 8.8434 Å; angles 90.00, 90.00, 90.00 degrees
With the nearest neighbours (Å) after each atom.
Space group Immm (No. 71)
One atom of each set of equivalent atoms:
Sc (0.0000, 0.0000, 0.0000) [2 per cell]  4 Cd 2.98, 8 Al 3.05-3.06
Al (0.0000, 0.5000, 0.2500) [4 per cell]  4 Al 2.98, 4 Cd 3.05-3.06, 4 Sc 3.05-3.06
Cd (0.0000, 0.0000, 0.5000) [2 per cell]  4 Sc 2.98, 8 Al 3.05-3.06

---

First-principles (PBE) data for a relaxed PaCrRu crystal, as listed in the Alexandria database.

Computed properties:
- calculated formation energy (eV per atom) = 0.239
- DOS(E_F) (states/eV per atom) = 1.0414
- magnetization (μB per formula unit) = 0.00

Cell lengths 3.4007, 3.4007, 19.5081 Å; angles 90.00, 90.00, 90.00 degrees
With the nearest neighbours (Å) after each atom.
Space group I4/mmm (No. 139)
One atom of each set of equivalent atoms:
Pa (0.0000, 0.0000, 0.1247) [4 per cell]  4 Ru 2.64
Cr (0.0000, 0.0000, 0.2825) [4 per cell]  4 Cr 2.72, 1 Ru 2.89, 4 Pa 3.01
Ru (0.0000, 0.0000, 0.4306) [4 per cell]  4 Pa 2.64, 1 Ru 2.71, 1 Cr 2.89